Sc2TiSiC | PBE | relaxed

abc: 4.4035 4.4035 4.1743
angles: 90.00 90.00 90.00
Fractional coordinates of all 5 atoms:
Sc  0.0000  0.5000  0.0000
Sc  0.5000  0.0000  0.0000
Si  0.5000  0.5000  0.5000
C  0.0000  0.0000  0.0000
Ti  0.0000  0.0000  0.5000

Fermi-level density of states (states/eV per cell): 2.8
E (eV per atom): -7.663
Theoretical density (g/cm3): 3.65
Symmetry: No. 123



Sc2VSiC | PBE | relaxed

abc: 4.4417 4.4417 3.9646
angles: 90.00 90.00 90.00
Last column: magnetic moment on the atom in μB.
Fractional coordinates of all 5 atoms:
Sc  0.0000  0.5000  0.0000  0.01
Sc  0.5000  0.0000  0.0000  0.01
Si  0.5000  0.5000  0.5000  -0.03
C  0.0000  0.0000  0.0000  -0.05
V  0.0000  0.0000  0.5000  1.04

Fermi-level density of states (states/eV per cell): 3.0
E (eV per atom): -7.794
Theoretical density (g/cm3): 3.84
Symmetry: No. 123



YSc2SiC | PBE | relaxed

abc: 4.4625 4.4625 4.7770
angles: 90.00 90.00 90.00
Fractional coordinates of all 5 atoms:
Y  0.0000  0.0000  0.5000
Sc  0.0000  0.5000  0.0000
Sc  0.5000  0.0000  0.0000
Si  0.5000  0.5000  0.5000
C  0.0000  0.0000  0.0000

Fermi-level density of states (states/eV per cell): 2.4
E (eV per atom): -7.350
Theoretical density (g/cm3): 3.82
Symmetry: No. 123



Y2ScSiC | PBE | relaxed

abc: 4.8050 4.8050 4.4686
angles: 90.00 90.00 90.00
Fractional coordinates of all 5 atoms:
Y  0.0000  0.5000  0.0000
Y  0.5000  0.0000  0.0000
Sc  0.0000  0.0000  0.5000
Si  0.5000  0.5000  0.5000
C  0.0000  0.0000  0.0000

Fermi-level density of states (states/eV per cell): 2.4
E (eV per atom): -7.313
Theoretical density (g/cm3): 4.23
Symmetry: No. 123



Y3ScSi2C | PBE | relaxed

abc: 4.4293 4.6339 8.2061
angles: 106.40 105.66 90.00
Fractional coordinates of all 7 atoms:
Y  0.0000  0.5000  0.0000
Y  0.1674  0.1674  0.3349
Y  0.8326  0.8326  0.6651
Sc  0.5000  0.0000  0.0000
Si  0.6354  0.6354  0.2707
Si  0.3646  0.3646  0.7293
C  0.0000  0.0000  0.0000

Fermi-level density of states (states/eV per cell): 0.7
E (eV per atom): -7.190
Theoretical density (g/cm3): 4.07
Symmetry: No. 71



Sm2ScC | PBE | relaxed

abc: 3.5492 3.5492 9.7305
angles: 79.49 79.49 60.00
Fractional coordinates of all 4 atoms:
Sc  0.0000  0.0000  0.0000
C  0.5000  0.5000  0.5000
Sm  0.1174  0.1174  0.6479
Sm  0.8826  0.8826  0.3521

Fermi-level density of states (states/eV per cell): 5.3
Theoretical density (g/cm3): 5.72
Symmetry: No. 166
Formation enthalpy at 0 K (eV per atom): 0.095



Sm2Sc2C3 | PBE | relaxed

abc: 3.6724 7.3006 6.3877
angles: 52.52 73.29 75.43
Fractional coordinates of all 7 atoms:
Sm  0.6146  0.1389  0.6320
Sm  0.3854  0.8611  0.3680
Sc  0.8389  0.3329  0.9892
Sc  0.1611  0.6671  0.0108
C  0.0000  0.0000  0.0000
C  0.7598  0.7307  0.7498
C  0.2402  0.2693  0.2502

Fermi-level density of states (states/eV per cell): 1.2
Theoretical density (g/cm3): 5.47
Symmetry: No. 12
Formation enthalpy at 0 K (eV per atom): -0.237



Sm2Sc4C | PBE | relaxed

abc: 4.4700 4.4700 9.7316
angles: 76.72 76.72 90.00
Fractional coordinates of all 7 atoms:
Sc  0.1214  0.1214  0.7573
Sc  0.8786  0.8786  0.2427
Sc  0.0000  0.5000  0.0000
Sc  0.5000  0.0000  0.0000
C  0.0000  0.0000  0.0000
Sm  0.3127  0.3127  0.3746
Sm  0.6873  0.6873  0.6254

Fermi-level density of states (states/eV per cell): 13.3
Theoretical density (g/cm3): 4.45
Symmetry: No. 139
Formation enthalpy at 0 K (eV per atom): 0.015



SmSc3C | PBE | relaxed

abc: 4.7181 4.7181 4.7181
angles: 90.00 90.00 90.00
Fractional coordinates of all 5 atoms:
Sc  0.0000  0.5000  0.0000
Sc  0.0000  0.0000  0.5000
Sc  0.5000  0.0000  0.0000
C  0.0000  0.0000  0.0000
Sm  0.5000  0.5000  0.5000

Fermi-level density of states (states/eV per cell): 6.1
Theoretical density (g/cm3): 4.70
Symmetry: No. 221
Formation enthalpy at 0 K (eV per atom): -0.082



SmSc2SnC | PBE | relaxed

abc: 4.9817 4.5967 4.5967
angles: 90.00 90.00 90.00
Fractional coordinates of all 5 atoms:
Sm  0.5000  0.0000  0.0000
Sc  0.0000  0.0000  0.5000
Sc  0.0000  0.5000  0.0000
Sn  0.5000  0.5000  0.5000
C  0.0000  0.0000  0.0000

Fermi-level density of states (states/eV per cell): 2.5
Theoretical density (g/cm3): 5.85
Symmetry: No. 123
Formation enthalpy at 0 K (eV per atom): -0.656



Sm2ScTlC | PBE | relaxed

abc: 4.5767 5.0880 5.0880
angles: 90.00 90.00 90.00
Fractional coordinates of all 5 atoms:
Sm  0.0000  0.0000  0.5000
Sm  0.0000  0.5000  0.0000
Sc  0.5000  0.0000  0.0000
Tl  0.5000  0.5000  0.5000
C  0.0000  0.0000  0.0000

Fermi-level density of states (states/eV per cell): 1.6
Theoretical density (g/cm3): 7.88
Symmetry: No. 123
Formation enthalpy at 0 K (eV per atom): -0.411



SmSc2TlC | PBE | relaxed

abc: 5.0072 4.6230 4.6230
angles: 90.00 90.00 90.00
Fractional coordinates of all 5 atoms:
Sm  0.5000  0.0000  0.0000
Sc  0.0000  0.0000  0.5000
Sc  0.0000  0.5000  0.0000
Tl  0.5000  0.5000  0.5000
C  0.0000  0.0000  0.0000

Fermi-level density of states (states/eV per cell): 1.4
Theoretical density (g/cm3): 7.09
Symmetry: No. 123
Formation enthalpy at 0 K (eV per atom): -0.480



Sc6Sn2C | PBE | relaxed

abc: 6.4189 6.4189 9.0663
angles: 90.00 90.00 90.00
Fractional coordinates of all 18 atoms:
Sc  0.0002  0.0001  0.2543
Sc  0.7546  0.7545  0.4999
Sc  0.7454  0.7454  0.0001
Sc  0.7546  0.2454  0.4999
Sc  0.7454  0.2545  0.0001
Sc  0.4998  0.5001  0.2457
Sc  0.9998  0.9999  0.7457
Sc  0.2454  0.2455  0.5001
Sc  0.2546  0.2546  0.9999
Sc  0.2454  0.7546  0.5001
Sc  0.2546  0.7455  0.9999
Sc  0.5002  0.4999  0.7543
Sn  0.0001  0.4999  0.7500
Sn  0.4999  0.9999  0.7500
Sn  0.5001  0.0001  0.2500
Sn  0.9999  0.5001  0.2500
C  0.5000  0.5000  0.0000
C  0.0000  0.0000  0.5000

Fermi-level density of states (states/eV per cell): 20.7
Theoretical density (g/cm3): 4.62
Symmetry: No. 139
Formation enthalpy at 0 K (eV per atom): -0.620
Offset from the most stable computed form (meV per atom): 0